This record from Alexandria via LeMat-Bulk describes a relaxed structure of CeEuHo. The functional is PBE.

Summary:
- theoretical density (g/cm³) = 7.56

Lattice parameters (Å, degrees): 3.5943 3.5943 15.5439 90.00 90.00 90.00
Closest atoms and distances in Å follow each position.
Element x y z (fractional)
Ce  0.0000  0.0000  0.0000  4 Ho 3.45, 4 Ce 3.59, 4 Eu 3.69
Ce  0.5000  0.5000  0.5000  4 Ho 3.45, 4 Ce 3.59, 4 Eu 3.69
Eu  0.0000  0.0000  0.6721  4 Eu 3.59, 4 Ce 3.69, 4 Ho 3.76
Eu  0.5000  0.5000  0.1721  4 Eu 3.59, 4 Ce 3.69, 4 Ho 3.76
Ho  0.0000  0.0000  0.3503  4 Ce 3.45, 4 Ho 3.59, 4 Eu 3.76
Ho  0.5000  0.5000  0.8503  4 Ce 3.45, 4 Ho 3.59, 4 Eu 3.76



This record from Alexandria via LeMat-Bulk describes a relaxed structure of CeEu2Ho. The functional is PBE.

Summary:
- theoretical density (g/cm³) = 7.14

Lattice parameters (Å, degrees): 5.9757 5.9757 3.9675 90.00 90.00 90.00
Closest atoms and distances in Å follow each position.
Element x y z (fractional)
Ce  0.0000  0.0000  0.0000  8 Eu 3.59, 2 Ce 3.97
Eu  0.0000  0.5000  0.5000  4 Ho 3.59, 4 Ce 3.59, 2 Eu 3.97
Eu  0.5000  0.0000  0.5000  4 Ho 3.59, 4 Ce 3.59, 2 Eu 3.97
Ho  0.5000  0.5000  0.0000  8 Eu 3.59, 2 Ho 3.97



This record from Alexandria via LeMat-Bulk describes a relaxed structure of CeEuHoMg. The functional is PBE.

Summary:
- theoretical density (g/cm³) = 6.37

Lattice parameters (Å, degrees): 7.9462 7.9462 7.9462 90.00 90.00 90.00
Closest atoms and distances in Å follow each position.
Element x y z (fractional)
Ce  0.0000  0.0000  0.0000  4 Ho 3.44, 4 Mg 3.44
Ce  0.0000  0.5000  0.5000  4 Ho 3.44, 4 Mg 3.44
Ce  0.5000  0.0000  0.5000  4 Ho 3.44, 4 Mg 3.44
Ce  0.5000  0.5000  0.0000  4 Ho 3.44, 4 Mg 3.44
Eu  0.0000  0.0000  0.5000  4 Ho 3.44, 4 Mg 3.44
Eu  0.0000  0.5000  0.0000  4 Ho 3.44, 4 Mg 3.44
Eu  0.5000  0.0000  0.0000  4 Ho 3.44, 4 Mg 3.44
Eu  0.5000  0.5000  0.5000  4 Ho 3.44, 4 Mg 3.44
Ho  0.2500  0.2500  0.7500  4 Ce 3.44, 4 Eu 3.44
Ho  0.2500  0.7500  0.2500  4 Ce 3.44, 4 Eu 3.44
Ho  0.7500  0.2500  0.2500  4 Ce 3.44, 4 Eu 3.44
Ho  0.7500  0.7500  0.7500  4 Eu 3.44, 4 Ce 3.44
Mg  0.2500  0.2500  0.2500  4 Ce 3.44, 4 Eu 3.44
Mg  0.2500  0.7500  0.7500  4 Ce 3.44, 4 Eu 3.44
Mg  0.7500  0.2500  0.7500  4 Ce 3.44, 4 Eu 3.44
Mg  0.7500  0.7500  0.2500  4 Ce 3.44, 4 Eu 3.44



This record from Alexandria via LeMat-Bulk describes a relaxed structure of CePrEuHo. The functional is PBE.

Summary:
- theoretical density (g/cm³) = 7.13

Lattice parameters (Å, degrees): 8.2281 8.2281 8.2281 90.00 90.00 90.00
Closest atoms and distances in Å follow each position.
Element x y z (fractional)
Ce  0.0000  0.0000  0.0000  4 Pr 3.56, 4 Ho 3.56
Ce  0.0000  0.5000  0.5000  4 Pr 3.56, 4 Ho 3.56
Ce  0.5000  0.0000  0.5000  4 Pr 3.56, 4 Ho 3.56
Ce  0.5000  0.5000  0.0000  4 Pr 3.56, 4 Ho 3.56
Pr  0.2500  0.2500  0.7500  4 Eu 3.56, 4 Ce 3.56
Pr  0.2500  0.7500  0.2500  4 Eu 3.56, 4 Ce 3.56
Pr  0.7500  0.2500  0.2500  4 Eu 3.56, 4 Ce 3.56
Pr  0.7500  0.7500  0.7500  4 Eu 3.56, 4 Ce 3.56
Eu  0.0000  0.0000  0.5000  4 Ho 3.56, 4 Pr 3.56
Eu  0.0000  0.5000  0.0000  4 Ho 3.56, 4 Pr 3.56
Eu  0.5000  0.0000  0.0000  4 Ho 3.56, 4 Pr 3.56
Eu  0.5000  0.5000  0.5000  4 Ho 3.56, 4 Pr 3.56
Ho  0.2500  0.2500  0.2500  4 Ce 3.56, 4 Eu 3.56
Ho  0.2500  0.7500  0.7500  4 Ce 3.56, 4 Eu 3.56
Ho  0.7500  0.2500  0.7500  4 Ce 3.56, 4 Eu 3.56
Ho  0.7500  0.7500  0.2500  4 Ce 3.56, 4 Eu 3.56



This record from Alexandria via LeMat-Bulk describes a relaxed structure of CeEuHoSn. The functional is PBE.

Summary:
- theoretical density (g/cm³) = 8.20

Lattice parameters (Å, degrees): 7.7534 7.7534 7.7534 90.00 90.00 90.00
Closest atoms and distances in Å follow each position.
Element x y z (fractional)
Ce  0.0000  0.0000  0.0000  4 Sn 3.36, 4 Eu 3.36
Ce  0.0000  0.5000  0.5000  4 Eu 3.36, 4 Sn 3.36
Ce  0.5000  0.0000  0.5000  4 Eu 3.36, 4 Sn 3.36
Ce  0.5000  0.5000  0.0000  4 Eu 3.36, 4 Sn 3.36
Eu  0.2500  0.2500  0.2500  4 Ce 3.36, 4 Ho 3.36
Eu  0.2500  0.7500  0.7500  4 Ce 3.36, 4 Ho 3.36
Eu  0.7500  0.2500  0.7500  4 Ce 3.36, 4 Ho 3.36
Eu  0.7500  0.7500  0.2500  4 Ce 3.36, 4 Ho 3.36
Ho  0.0000  0.0000  0.5000  4 Sn 3.36, 4 Eu 3.36
Ho  0.0000  0.5000  0.0000  4 Sn 3.36, 4 Eu 3.36
Ho  0.5000  0.0000  0.0000  4 Sn 3.36, 4 Eu 3.36
Ho  0.5000  0.5000  0.5000  4 Sn 3.36, 4 Eu 3.36
Sn  0.2500  0.2500  0.7500  4 Ce 3.36, 4 Ho 3.36
Sn  0.2500  0.7500  0.2500  4 Ce 3.36, 4 Ho 3.36
Sn  0.7500  0.2500  0.2500  4 Ce 3.36, 4 Ho 3.36
Sn  0.7500  0.7500  0.7500  4 Ho 3.36, 4 Ce 3.36



This record from Alexandria via LeMat-Bulk describes a relaxed structure of TbCeEuHo. The functional is PBE.

Summary:
- theoretical density (g/cm³) = 7.61

Lattice parameters (Å, degrees): 8.1322 8.1322 8.1322 90.00 90.00 90.00
Closest atoms and distances in Å follow each position.
Element x y z (fractional)
Tb  0.0000  0.0000  0.0000  4 Ce 3.52, 4 Eu 3.52
Tb  0.0000  0.5000  0.5000  4 Ce 3.52, 4 Eu 3.52
Tb  0.5000  0.0000  0.5000  4 Ce 3.52, 4 Eu 3.52
Tb  0.5000  0.5000  0.0000  4 Ce 3.52, 4 Eu 3.52
Ce  0.2500  0.2500  0.7500  4 Tb 3.52, 4 Ho 3.52
Ce  0.2500  0.7500  0.2500  4 Tb 3.52, 4 Ho 3.52
Ce  0.7500  0.2500  0.2500  4 Tb 3.52, 4 Ho 3.52
Ce  0.7500  0.7500  0.7500  4 Tb 3.52, 4 Ho 3.52
Eu  0.2500  0.2500  0.2500  4 Tb 3.52, 4 Ho 3.52
Eu  0.2500  0.7500  0.7500  4 Tb 3.52, 4 Ho 3.52
Eu  0.7500  0.2500  0.7500  4 Tb 3.52, 4 Ho 3.52
Eu  0.7500  0.7500  0.2500  4 Tb 3.52, 4 Ho 3.52
Ho  0.0000  0.0000  0.5000  4 Ce 3.52, 4 Eu 3.52
Ho  0.0000  0.5000  0.0000  4 Ce 3.52, 4 Eu 3.52
Ho  0.5000  0.0000  0.0000  4 Ce 3.52, 4 Eu 3.52
Ho  0.5000  0.5000  0.5000  4 Ce 3.52, 4 Eu 3.52



This record from Alexandria via LeMat-Bulk describes a relaxed structure of CeEuHoTl. The functional is PBE.

Summary:
- theoretical density (g/cm³) = 9.19

Lattice parameters (Å, degrees): 7.8183 7.8183 7.8183 90.00 90.00 90.00
Closest atoms and distances in Å follow each position.
Element x y z (fractional)
Ce  0.0000  0.0000  0.0000  4 Ho 3.39, 4 Eu 3.39
Ce  0.0000  0.5000  0.5000  4 Ho 3.39, 4 Eu 3.39
Ce  0.5000  0.0000  0.5000  4 Ho 3.39, 4 Eu 3.39
Ce  0.5000  0.5000  0.0000  4 Ho 3.39, 4 Eu 3.39
Eu  0.2500  0.2500  0.2500  4 Tl 3.39, 4 Ce 3.39
Eu  0.2500  0.7500  0.7500  4 Tl 3.39, 4 Ce 3.39
Eu  0.7500  0.2500  0.7500  4 Tl 3.39, 4 Ce 3.39
Eu  0.7500  0.7500  0.2500  4 Tl 3.39, 4 Ce 3.39
Ho  0.2500  0.2500  0.7500  4 Tl 3.39, 4 Ce 3.39
Ho  0.2500  0.7500  0.2500  4 Tl 3.39, 4 Ce 3.39
Ho  0.7500  0.2500  0.2500  4 Tl 3.39, 4 Ce 3.39
Ho  0.7500  0.7500  0.7500  4 Tl 3.39, 4 Ce 3.39
Tl  0.0000  0.0000  0.5000  4 Ho 3.39, 4 Eu 3.39
Tl  0.0000  0.5000  0.0000  4 Ho 3.39, 4 Eu 3.39
Tl  0.5000  0.0000  0.0000  4 Ho 3.39, 4 Eu 3.39
Tl  0.5000  0.5000  0.5000  4 Ho 3.39, 4 Eu 3.39



This record from Alexandria via LeMat-Bulk describes a relaxed structure of CeEuYHo. The functional is PBE.

Summary:
- theoretical density (g/cm³) = 6.72

Lattice parameters (Å, degrees): 8.1431 8.1431 8.1431 90.00 90.00 90.00
Closest atoms and distances in Å follow each position.
Element x y z (fractional)
Ce  0.0000  0.0000  0.0000  4 Ho 3.53, 4 Y 3.53
Ce  0.0000  0.5000  0.5000  4 Ho 3.53, 4 Y 3.53
Ce  0.5000  0.0000  0.5000  4 Ho 3.53, 4 Y 3.53
Ce  0.5000  0.5000  0.0000  4 Ho 3.53, 4 Y 3.53
Eu  0.0000  0.0000  0.5000  4 Y 3.53, 4 Ho 3.53
Eu  0.0000  0.5000  0.0000  4 Y 3.53, 4 Ho 3.53
Eu  0.5000  0.0000  0.0000  4 Y 3.53, 4 Ho 3.53
Eu  0.5000  0.5000  0.5000  4 Y 3.53, 4 Ho 3.53
Y  0.2500  0.2500  0.7500  4 Ce 3.53, 4 Eu 3.53
Y  0.2500  0.7500  0.2500  4 Ce 3.53, 4 Eu 3.53
Y  0.7500  0.2500  0.2500  4 Ce 3.53, 4 Eu 3.53
Y  0.7500  0.7500  0.7500  4 Eu 3.53, 4 Ce 3.53
Ho  0.2500  0.2500  0.2500  4 Ce 3.53, 4 Eu 3.53
Ho  0.2500  0.7500  0.7500  4 Ce 3.53, 4 Eu 3.53
Ho  0.7500  0.2500  0.7500  4 Ce 3.53, 4 Eu 3.53
Ho  0.7500  0.7500  0.2500  4 Ce 3.53, 4 Eu 3.53



Number 1: calculated formation energy 12.7 kJ/mol of atoms, uncorrected energy -0.4995 Ry/atom. Number 2: calculated formation energy 22.6 kJ/mol of atoms, uncorrected energy -0.5535 Ry/atom. Number 3: calculated formation energy 14.8 kJ/mol of atoms, uncorrected energy -0.4000 Ry/atom. Number 4: calculated formation energy 22.4 kJ/mol of atoms, uncorrected energy -0.4527 Ry/atom. Number 5: calculated formation energy -19.3 kJ/mol of atoms, uncorrected energy -0.4702 Ry/atom. Number 6: calculated formation energy 21.9 kJ/mol of atoms, uncorrected energy -0.4503 Ry/atom. Number 7: calculated formation energy 3.0 kJ/mol of atoms, uncorrected energy -0.4231 Ry/atom. Number 8: calculated formation energy 21.3 kJ/mol of atoms, uncorrected energy -0.4845 Ry/atom.